Material: LaGa2Pd5Pt
Method: DFT, PBE-GGA
State: optimized geometry

```
LaGa2Pd5Pt
1.0
4.791 0.000 0.000
0.000 4.791 0.000
0.000 0.000 7.220
La Ga Pd Pt
1 2 5 1
Cartesian
0.000 0.000 0.000 La
2.396 2.396 2.422 Ga
2.396 2.396 4.798 Ga
0.000 2.396 2.033 Pd
0.000 2.396 5.187 Pd
2.396 0.000 2.033 Pd
2.396 0.000 5.187 Pd
2.396 2.396 0.000 Pd
0.000 0.000 3.610 Pt
```

Computed properties:
total magnetization	0.00	Bohr magnetons per cell
crystal system	tetragonal
E_tot	-5.1555	eV per atom
calculated volume	18.4	Å³ per atom
energy of formation from the pure elements	-379	meV per atom

***

Material: TlOsRu2
Method: DFT, PBE-GGA
State: optimized geometry

```
TlOsRu2
1.0
3.909 0.000 0.000
0.000 3.909 0.000
0.000 0.000 8.292
Tl Os Ru
2 2 4
Cartesian
0.000 0.000 0.000 Tl
1.955 1.955 4.146 Tl
0.000 1.955 6.219 Os
1.955 0.000 2.073 Os
0.000 0.000 4.146 Ru
0.000 1.955 2.073 Ru
1.955 0.000 6.219 Ru
1.955 1.955 0.000 Ru
```

Computed properties:
total magnetization	0.00	Bohr magnetons per cell
crystal system	tetragonal
E_tot	-7.3339	eV per atom
calculated volume	15.8	Å³ per atom
energy relative to the lowest polymorph listed for this composition	0.294	eV per atom
energy of formation from the pure elements	703	meV per atom

***

Material: Gd3ErOs
Method: DFT, PBE-GGA
State: optimized geometry

```
Gd3ErOs
1.0
5.455 0.000 0.000
0.000 5.455 0.000
0.000 0.000 5.455
Gd Er Os
3 1 1
Cartesian
0.000 0.000 2.728 Gd
0.000 2.728 0.000 Gd
2.728 0.000 0.000 Gd
2.728 2.728 2.728 Er
0.000 0.000 0.000 Os
```

Computed properties:
total magnetization	21.89	Bohr magnetons per cell
crystal system	cubic
E_tot	-11.5638	eV per atom
calculated volume	32.5	Å³ per atom
energy of formation from the pure elements	43	meV per atom

***

Material: Hg2SbC
Method: DFT, PBE-GGA
State: optimized geometry

```
Hg2SbC
1.0
6.349 0.000 0.000
0.000 6.349 0.000
0.000 0.000 9.728
Hg Sb C
8 4 4
Cartesian
0.843 1.587 1.216 Hg
1.587 4.017 3.648 Hg
1.587 5.506 8.512 Hg
2.331 1.587 6.080 Hg
4.017 4.762 6.080 Hg
4.762 0.843 8.512 Hg
4.762 2.331 3.648 Hg
5.506 4.762 1.216 Hg
0.000 0.000 4.864 Sb
0.000 3.174 7.296 Sb
3.174 0.000 2.432 Sb
3.174 3.174 0.000 Sb
0.000 0.000 0.000 C
0.000 3.174 2.432 C
3.174 0.000 7.296 C
3.174 3.174 4.864 C
```

Computed properties:
total magnetization	0.00	Bohr magnetons per cell
crystal system	tetragonal
E_tot	-2.3151	eV per atom
calculated volume	24.5	Å³ per atom
energy relative to the lowest polymorph listed for this composition	0.000	eV per atom
energy relative to the elements, uncorrected	4.7	eV/f.u.

***

Material: Ba2CrGaC
Method: DFT, PBE-GGA
State: optimized geometry

```
Ba2CrGaC
1.0
5.962 0.000 0.000
0.000 5.962 0.000
0.000 0.000 3.942
Ba Cr Ga C
2 1 1 1
Cartesian
0.000 2.981 0.000 Ba
2.981 0.000 0.000 Ba
0.000 0.000 1.971 Cr
2.981 2.981 1.971 Ga
0.000 0.000 0.000 C
```

Computed properties:
total magnetization	2.37	Bohr magnetons per cell
crystal system	tetragonal
E_tot	-4.9118	eV per atom
calculated volume	28.0	Å³ per atom
energy of formation from the pure elements	232	meV per atom

***

Material: Zr2TlC
Method: DFT, PBE-GGA
State: optimized geometry

```
Zr2TlC
1.0
6.673 0.000 0.000
0.000 6.673 0.000
0.000 0.000 6.673
Zr Tl C
8 4 4
Cartesian
1.668 1.668 1.668 Zr
1.668 1.668 5.005 Zr
1.668 5.005 1.668 Zr
1.668 5.005 5.005 Zr
5.005 1.668 1.668 Zr
5.005 1.668 5.005 Zr
5.005 5.005 1.668 Zr
5.005 5.005 5.005 Zr
0.000 0.000 0.000 Tl
0.000 3.337 3.337 Tl
3.337 0.000 3.337 Tl
3.337 3.337 0.000 Tl
0.000 0.000 3.337 C
0.000 3.337 0.000 C
3.337 0.000 0.000 C
3.337 3.337 3.337 C
```

Computed properties:
total magnetization	0.00	Bohr magnetons per cell
crystal system	cubic
E_tot	-6.2838	eV per atom
calculated volume	18.6	Å³ per atom
energy of formation from the pure elements	888	meV per atom